16
Lattice="7.5734 0.0000 0.0000 0.0000 7.5734 0.0000 0.0000 0.0000 7.5734" Properties=species:S:1:pos:R:3 comment="YPuTlHg | Alexandria | GGA-PBE | relaxed" formation_enthalpy_0k_kj_per_mol_fu=-86 total_magnetization_mub_per_atom=1.60 pbc="T T T"
Y 0.0000 0.0000 0.0000
Y 0.0000 3.7867 3.7867
Y 3.7867 0.0000 3.7867
Y 3.7867 3.7867 0.0000
Pu 0.0000 0.0000 3.7867
Pu 0.0000 3.7867 0.0000
Pu 3.7867 0.0000 0.0000
Pu 3.7867 3.7867 3.7867
Tl 1.8934 1.8934 5.6801
Tl 1.8934 5.6801 1.8934
Tl 5.6801 1.8934 1.8934
Tl 5.6801 5.6801 5.6801
Hg 1.8934 1.8934 1.8934
Hg 1.8934 5.6801 5.6801
Hg 5.6801 1.8934 5.6801
Hg 5.6801 5.6801 1.8934